(1)
DFT (PBE) results for a relaxed PmAgGeBr6 crystal.

Cell lengths 6.8324, 6.8324, 12.7090 Å; angles 90.00, 90.00, 90.00 degrees
Positions (direct):
Pm (0.0000, 0.0000, 0.0000)
Pm (0.5000, 0.5000, 0.5000)
Ag (0.0000, 0.0000, 0.3293)
Ag (0.5000, 0.5000, 0.8293)
Ge (0.0000, 0.0000, 0.6670)
Ge (0.5000, 0.5000, 0.1670)
Br (0.1946, 0.1946, 0.8274)
Br (0.1993, 0.1993, 0.4987)
Br (0.2048, 0.2048, 0.1664)
Br (0.2952, 0.7048, 0.6664)
Br (0.3007, 0.6993, 0.9987)
Br (0.3054, 0.6946, 0.3274)
Br (0.6946, 0.3054, 0.3274)
Br (0.6993, 0.3007, 0.9987)
Br (0.7048, 0.2952, 0.6664)
Br (0.7952, 0.7952, 0.1664)
Br (0.8007, 0.8007, 0.4987)
Br (0.8054, 0.8054, 0.8274)

Computed properties:
uncorrected energy = -0.1298 hartree per atom
SG = P4_2nm

=====

(2)
DFT (PBE) results for a relaxed Rb3Ag2GeBr9 crystal.

Cell lengths 7.6972, 7.6972, 9.5279 Å; angles 90.00, 90.00, 120.00 degrees
Positions (direct):
Rb (0.0000, 0.0000, 0.0000)
Rb (0.3333, 0.6667, 0.6864)
Rb (0.6667, 0.3333, 0.3136)
Ag (0.3333, 0.6667, 0.1665)
Ag (0.6667, 0.3333, 0.8335)
Ge (0.0000, 0.0000, 0.5000)
Br (0.0000, 0.5000, 0.0000)
Br (0.1624, 0.3248, 0.3412)
Br (0.1624, 0.8376, 0.3412)
Br (0.3248, 0.1624, 0.6588)
Br (0.5000, 0.0000, 0.0000)
Br (0.5000, 0.5000, 0.0000)
Br (0.6752, 0.8376, 0.3412)
Br (0.8376, 0.1624, 0.6588)
Br (0.8376, 0.6752, 0.6588)

Computed properties:
uncorrected energy = -0.1038 hartree per atom
SG = P-3m1

=====

(3)
DFT (PBE) results for a relaxed Rb4AgGe3Br12 crystal.

Cell lengths 9.5549, 9.5549, 9.5549 Å; angles 109.47, 109.47, 109.47 degrees
Positions (direct):
Rb (0.0000, 0.0000, 0.5000)
Rb (0.0000, 0.5000, 0.0000)
Rb (0.5000, 0.0000, 0.0000)
Rb (0.5000, 0.5000, 0.5000)
Ag (0.0000, 0.0000, 0.0000)
Ge (0.0000, 0.5000, 0.5000)
Ge (0.5000, 0.0000, 0.5000)
Ge (0.5000, 0.5000, 0.0000)
Br (0.0000, 0.2542, 0.2542)
Br (0.0000, 0.7458, 0.7458)
Br (0.2500, 0.5000, 0.7500)
Br (0.2500, 0.7500, 0.5000)
Br (0.2542, 0.0000, 0.2542)
Br (0.2542, 0.2542, 0.0000)
Br (0.5000, 0.2500, 0.7500)
Br (0.5000, 0.7500, 0.2500)
Br (0.7458, 0.0000, 0.7458)
Br (0.7458, 0.7458, 0.0000)
Br (0.7500, 0.2500, 0.5000)
Br (0.7500, 0.5000, 0.2500)

Computed properties:
uncorrected energy = -0.1119 hartree per atom
SG = Im-3m

=====

(4)
DFT (PBE) results for a relaxed RbAgGe2Br6 crystal.

Cell lengths 9.7179, 9.7179, 10.1681 Å; angles 108.94, 108.94, 98.10 degrees
Positions (direct):
Rb (0.1040, 0.8960, 0.7500)
Rb (0.8960, 0.1040, 0.2500)
Ag (0.2150, 0.7850, 0.2500)
Ag (0.7850, 0.2150, 0.7500)
Ge (0.2803, 0.4325, 0.8212)
Ge (0.4325, 0.2803, 0.3212)
Ge (0.5675, 0.7197, 0.6788)
Ge (0.7197, 0.5675, 0.1788)
Br (0.0307, 0.2116, 0.6613)
Br (0.1569, 0.6148, 0.9583)
Br (0.2116, 0.0307, 0.1613)
Br (0.3090, 0.3872, 0.4989)
Br (0.3852, 0.8431, 0.5417)
Br (0.3872, 0.3090, 0.9989)
Br (0.6128, 0.6910, 0.0011)
Br (0.6148, 0.1569, 0.4583)
Br (0.6910, 0.6128, 0.5011)
Br (0.7884, 0.9693, 0.8387)
Br (0.8431, 0.3852, 0.0417)
Br (0.9693, 0.7884, 0.3387)

Computed properties:
uncorrected energy = -0.1118 hartree per atom
SG = C2/c

=====

(5)
DFT (PBE) results for a relaxed Rb2Ag2GeBr6 crystal.

Cell lengths 8.1370, 8.1370, 7.9697 Å; angles 115.82, 115.82, 59.06 degrees
Positions (direct):
Rb (0.2358, 0.2358, 0.1951)
Rb (0.7642, 0.7642, 0.8049)
Ag (0.4364, 0.4364, 0.7858)
Ag (0.5636, 0.5636, 0.2142)
Ge (0.0000, 0.0000, 0.5000)
Br (0.1857, 0.7048, 0.2034)
Br (0.2237, 0.2237, 0.6171)
Br (0.2952, 0.8143, 0.7966)
Br (0.7048, 0.1857, 0.2034)
Br (0.7763, 0.7763, 0.3829)
Br (0.8143, 0.2952, 0.7966)

Computed properties:
uncorrected energy = -0.1073 hartree per atom
SG = C2/m

=====

(6)
DFT (PBE) results for a relaxed AgGeRh2Br crystal.

Cell lengths 4.6274, 4.6274, 5.1003 Å; angles 90.00, 90.00, 90.00 degrees
Positions (direct):
Ag (0.0000, 0.0000, 0.0000)
Ge (0.5000, 0.5000, 0.0000)
Rh (0.0000, 0.5000, 0.5000)
Rh (0.5000, 0.0000, 0.5000)
Br (0.5000, 0.5000, 0.5000)

Computed properties:
uncorrected energy = -0.1383 hartree per atom
SG = P4/mmm

=====

(7)
DFT (PBE) results for a relaxed Ag5GeS4Br2 crystal.

Cell lengths 7.7951, 6.4682, 6.4682 Å; angles 119.65, 90.00, 90.00 degrees
Positions (direct):
Ag (0.0000, 0.0000, 0.0000)
Ag (0.3121, 0.3873, 0.6652)
Ag (0.3121, 0.6652, 0.3873)
Ag (0.6879, 0.3873, 0.6652)
Ag (0.6879, 0.6652, 0.3873)
Ge (0.5000, 0.0362, 0.0362)
S (0.2615, 0.2298, 0.2298)
S (0.5000, 0.0146, 0.6761)
S (0.5000, 0.6761, 0.0146)
S (0.7385, 0.2298, 0.2298)
Br (0.0000, 0.5287, 0.8747)
Br (0.0000, 0.8747, 0.5287)

Computed properties:
uncorrected energy = -0.1260 hartree per atom
SG = Amm2

=====

(8)
DFT (PBE) results for a relaxed AgGeS2Br crystal.

Cell lengths 7.9318, 7.9318, 4.8171 Å; angles 90.00, 90.00, 127.46 degrees
Positions (direct):
Ag (0.1362, 0.8638, 0.7500)
Ag (0.8638, 0.1362, 0.2500)
Ge (0.3928, 0.6072, 0.7500)
Ge (0.6072, 0.3928, 0.2500)
S (0.2602, 0.2602, 0.0000)
S (0.2602, 0.2602, 0.5000)
S (0.7398, 0.7398, 0.0000)
S (0.7398, 0.7398, 0.5000)
Br (0.2286, 0.7714, 0.2500)
Br (0.7714, 0.2286, 0.7500)

Computed properties:
uncorrected energy = -0.1290 hartree per atom
SG = Cmcm